No. 1
DFT (PBE) results for TaHgAsBr2 after structural relaxation.

Unit cell a=5.333 b=5.333 c=5.311 alpha=90.00 beta=90.00 gamma=90.00
Last column: magnetic moment on the atom in μB.
Fractional coordinates of all 5 atoms:
1 Ta 0.500 0.500 0.500  2.10
2 Hg 0.000 0.000 0.000  0.01
3 As 0.000 0.000 0.500  -0.36
4 Br 0.500 0.000 0.000  -0.05
5 Br 0.000 0.500 0.000  -0.05

Values from the calculation:
**Space group**: P4/mmm
**E_form (uncorrected)**: 1.31 eV/atom
**DFT total energy**: -13.6 eV for the cell shown
**Polymorph energy (0 for the lowest one)**: 1.346 eV/atom
**Theoretical density**: 6.78 Mg/m³


No. 2
DFT (PBE) results for TaHgAsBr2 after structural relaxation.

Unit cell a=5.210 b=5.210 c=5.085 alpha=90.00 beta=90.00 gamma=90.00
Fractional coordinates of all 5 atoms:
1 Br 0.000 0.500 0.000
2 Br 0.500 0.000 0.000
3 Hg 0.500 0.500 0.500
4 Ta 0.000 0.000 0.000
5 As 0.000 0.000 0.500

Values from the calculation:
**Space group**: P4/mmm
**E_form (uncorrected)**: -0.03 eV/atom
**DFT total energy**: -20.3 eV for the cell shown
**Polymorph energy (0 for the lowest one)**: 0.000 eV/atom
**Theoretical density**: 7.41 Mg/m³


No. 3
DFT (PBE) results for TcHgAs2Br after structural relaxation.

Unit cell a=4.762 b=4.762 c=5.541 alpha=90.00 beta=90.00 gamma=90.00
Fractional coordinates of all 5 atoms:
1 Hg 0.500 0.500 0.500
2 Tc 0.000 0.000 0.000
3 Br 0.000 0.000 0.500
4 As 0.000 0.500 0.000
5 As 0.500 0.000 0.000

Values from the calculation:
**Space group**: P4/mmm
**E_form (uncorrected)**: 0.28 eV/atom
**DFT total energy**: -20.3 eV for the cell shown
**Polymorph energy (0 for the lowest one)**: 0.000 eV/atom
**Theoretical density**: 6.98 Mg/m³